(1)
InFeRe3 after structural relaxation, computed with PBE.

a b c (Å): 4.461 4.461 4.461
angles (deg): 90.00 90.00 90.00
Element x y z (fractional)
In (0.000, 0.000, 0.000)
Fe (0.500, 0.500, 0.500)
Re (0.000, 0.500, 0.500)
Re (0.500, 0.000, 0.500)
Re (0.500, 0.500, 0.000)

## Properties
Polymorph energy (0 for the lowest one) = 0 meV per atom
Calculated formation energy = 1444 meV per atom

=====

(2)
BeCdHg2 after structural relaxation, computed with PBE.

a b c (Å): 5.678 5.678 5.678
angles (deg): 149.24 116.10 72.59
Element x y z (fractional)
Be (0.000, 0.000, 0.000)
Cd (0.500, 0.500, 0.000)
Hg (0.213, 0.713, 0.500)
Hg (0.787, 0.287, 0.500)

## Properties
Polymorph energy (0 for the lowest one) = 87 meV per atom
Calculated formation energy = 316 meV per atom

=====

(3)
TaCdFe2Se after structural relaxation, computed with PBE.

a b c (Å): 4.744 4.744 4.969
angles (deg): 90.00 90.00 90.00
Element x y z (fractional)
Ta (0.000, 0.000, 0.000)
Cd (0.500, 0.500, 0.500)
Fe (0.000, 0.500, 0.500)
Fe (0.500, 0.000, 0.500)
Se (0.500, 0.500, 0.000)

## Properties
Raw formation energy = 1.808 eV per atom

=====

(4)
CaZn2GeIr2 after structural relaxation, computed with PBE.

a b c (Å): 4.648 4.648 5.621
angles (deg): 90.00 90.00 90.00
Element x y z (fractional)
Ca (0.000, 0.000, 0.000)
Zn (0.500, 0.500, 0.238)
Zn (0.500, 0.500, 0.762)
Ge (0.000, 0.000, 0.500)
Ir (0.000, 0.500, 0.500)
Ir (0.500, 0.000, 0.500)

## Properties
Calculated formation energy = -34 meV per atom